1.
A relaxed structure of CsRuS3, computed with PBE.

Lattice parameters (Å, degrees): 5.425 5.425 5.425 90.00 90.00 90.00
Positions (direct):
Cs: 0.000 0.000 0.000
Ru: 0.500 0.500 0.500
S: 0.000 0.500 0.000
S: 0.000 0.000 0.500
S: 0.500 0.000 0.000

Properties
* formation energy (no corrections): 2.01 eV per atom
* DOS at the Fermi energy: 9.3 states/eV per cell
* V: 31.928 A^3/atom

2.
A relaxed structure of Nd3In2Sn, computed with PBE.

Lattice parameters (Å, degrees): 5.478 5.478 6.742 90.00 90.00 120.00
Positions (direct):
Nd: 0.000 0.000 0.500
Nd: 0.667 0.333 0.852
Nd: 0.333 0.667 0.148
In: 0.667 0.333 0.354
In: 0.333 0.667 0.646
Sn: 0.000 0.000 0.000

Properties
* energy above the lowest structure with this stoichiometry: 0.00 kJ per mole of atoms
* DOS at the Fermi energy: 2.9 states/eV per cell
* ΔE_f: -0.55 eV per atom
* V: 29.198 A^3/atom

3.
A relaxed structure of Hf3CdC, computed with PBE.

Lattice parameters (Å, degrees): 3.700 3.700 17.660 90.00 90.00 120.00
Positions (direct):
C: 0.333 0.667 0.750
C: 0.667 0.333 0.250
Hf: 0.000 0.000 0.250
Hf: 0.000 0.000 0.750
Hf: 0.333 0.667 0.877
Hf: 0.333 0.667 0.623
Hf: 0.667 0.333 0.377
Hf: 0.667 0.333 0.123
Cd: 0.000 0.000 0.000
Cd: 0.000 0.000 0.500

Properties
* energy above the lowest structure with this stoichiometry: 49.26 kJ per mole of atoms
* DOS at the Fermi energy: 11.7 states/eV per cell
* ΔE_f: 0.08 eV per atom
* V: 20.936 A^3/atom